Record 1
DFT (PBE) results for an optimized crystal structure of Tb5NdSm3.

It has space group C2/m (No. 12), with a = 15.3007 Å, b = 11.4807 Å, c = 9.9295 Å, α = 90.00°, β = 130.02° and γ = 90.00°. The inequivalent atoms are Tb at (0.0000, 0.2434, 0.0000), Tb at (0.1484, 0.2499, 0.7479), Tb at (0.2223, 0.0000, 0.2247), Tb at (0.2255, 0.5000, 0.0459), Nd at (0.2480, 0.5000, 0.4093), Sm at (0.0000, 0.0000, 0.5000), Sm at (0.0000, 0.5000, 0.0000), Sm at (0.0066, 0.0000, 0.8138) and Sm at (0.0192, 0.5000, 0.3582).

The energy above the most stable polymorph in this dataset is 194.4 meV per atom. Its formation energy is 0.50 eV per atom.

---

Record 2
DFT (PBE) results for an optimized crystal structure of Tb7Nd12Sm.

It has space group R-3 (No. 148, hexagonal axes), with a = 15.3016 Å, b = 15.3016 Å, c = 10.1972 Å, α = 90.00°, β = 90.00° and γ = 120.00°. The inequivalent atoms are Tb at (0.0000, 0.0000, 0.0000), Tb at (0.0663, 0.8208, 0.4258), Nd at (0.0444, 0.8444, 0.7516), Nd at (0.0460, 0.7982, 0.0760) and Sm at (0.0000, 0.0000, 0.5000).

The energy above the most stable polymorph in this dataset is 0.0 meV per atom. Its formation energy is 0.15 eV per atom.

---

Repeat the first record exactly.
DFT (PBE) results for an optimized crystal structure of Tb5NdSm3.

It has space group C2/m (No. 12), with a = 15.3007 Å, b = 11.4807 Å, c = 9.9295 Å, α = 90.00°, β = 130.02° and γ = 90.00°. The inequivalent atoms are Tb at (0.0000, 0.2434, 0.0000), Tb at (0.1484, 0.2499, 0.7479), Tb at (0.2223, 0.0000, 0.2247), Tb at (0.2255, 0.5000, 0.0459), Nd at (0.2480, 0.5000, 0.4093), Sm at (0.0000, 0.0000, 0.5000), Sm at (0.0000, 0.5000, 0.0000), Sm at (0.0066, 0.0000, 0.8138) and Sm at (0.0192, 0.5000, 0.3582).

The energy above the most stable polymorph in this dataset is 194.4 meV per atom. Its formation energy is 0.50 eV per atom.